Entry from Alexandria: an optimized crystal structure of KFe2Ru (PBE).

total magnetic moment	4.6	Bohr magnetons per cell
formation enthalpy at 0 K	0.81	eV/atom
excess energy over the best structure of this formula in the dataset	0.129	eV/atom
density	5.96	g/cm3
crystal system	tetragonal

Cell and atoms, written as CIF:
```
data_KFe2Ru
_space_group_name_H-M_alt 'P 1'
_space_group_IT_number 1
_space_group_name_Hall 'P 1'
_cell_length_a 2.753
_cell_length_b 2.753
_cell_length_c 9.261
_cell_angle_alpha 90.00
_cell_angle_beta 90.00
_cell_angle_gamma 90.00
loop_
_atom_site_label
_atom_site_type_symbol
_atom_site_fract_x
_atom_site_fract_y
_atom_site_fract_z
_atom_site_occupancy
K1 K 0.000 0.000 0.000 1
Fe1 Fe 0.500 0.500 0.317 1
Fe2 Fe 0.500 0.500 0.683 1
Ru1 Ru 0.000 0.000 0.500 1
```

Entry from Alexandria: an optimized crystal structure of KFe3Ru (PBE).

total magnetic moment	9.9	Bohr magnetons per cell
formation enthalpy at 0 K	2.59	eV/atom
excess energy over the best structure of this formula in the dataset	1.391	eV/atom
density	6.14	g/cm3
crystal system	cubic

Cell and atoms, written as CIF:
```
data_KFe3Ru
_space_group_name_H-M_alt 'P 1'
_space_group_IT_number 1
_space_group_name_Hall 'P 1'
_cell_length_a 4.365
_cell_length_b 4.365
_cell_length_c 4.365
_cell_angle_alpha 90.00
_cell_angle_beta 90.00
_cell_angle_gamma 90.00
loop_
_atom_site_label
_atom_site_type_symbol
_atom_site_fract_x
_atom_site_fract_y
_atom_site_fract_z
_atom_site_occupancy
K1 K 0.000 0.000 0.000 1
Fe1 Fe 0.000 0.000 0.500 1
Fe2 Fe 0.000 0.500 0.000 1
Fe3 Fe 0.500 0.000 0.000 1
Ru1 Ru 0.500 0.500 0.500 1
```

Entry from Alexandria: an optimized crystal structure of K2FeRu (PBE).

total magnetic moment	3.6	Bohr magnetons per cell
formation enthalpy at 0 K	1.30	eV/atom
excess energy over the best structure of this formula in the dataset	0.600	eV/atom
density	4.49	g/cm3
crystal system	tetragonal

Cell and atoms, written as CIF:
```
data_K2FeRu
_space_group_name_H-M_alt 'P 1'
_space_group_IT_number 1
_space_group_name_Hall 'P 1'
_cell_length_a 6.219
_cell_length_b 6.219
_cell_length_c 6.219
_cell_angle_alpha 142.91
_cell_angle_beta 142.91
_cell_angle_gamma 53.46
loop_
_atom_site_label
_atom_site_type_symbol
_atom_site_fract_x
_atom_site_fract_y
_atom_site_fract_z
_atom_site_occupancy
K1 K 0.250 0.750 0.500 1
K2 K 0.750 0.250 0.500 1
Fe1 Fe 0.000 0.000 0.000 1
Ru1 Ru 0.500 0.500 0.000 1
```

Entry from Alexandria: an optimized crystal structure of KFeRu2 (PBE).

total magnetic moment	3.0	Bohr magnetons per cell
formation enthalpy at 0 K	0.75	eV/atom
excess energy over the best structure of this formula in the dataset	0.049	eV/atom
density	6.81	g/cm3
crystal system	tetragonal

Cell and atoms, written as CIF:
```
data_KFeRu2
_space_group_name_H-M_alt 'P 1'
_space_group_IT_number 1
_space_group_name_Hall 'P 1'
_cell_length_a 2.786
_cell_length_b 2.786
_cell_length_c 9.324
_cell_angle_alpha 90.00
_cell_angle_beta 90.00
_cell_angle_gamma 90.00
loop_
_atom_site_label
_atom_site_type_symbol
_atom_site_fract_x
_atom_site_fract_y
_atom_site_fract_z
_atom_site_occupancy
K1 K 0.000 0.000 0.000 1
Fe1 Fe 0.500 0.500 0.675 1
Ru1 Ru 0.000 0.000 0.481 1
Ru2 Ru 0.500 0.500 0.301 1
```

Entry from Alexandria: an optimized crystal structure of K2FeRu (PBE).

total magnetic moment	5.7	Bohr magnetons per cell
formation enthalpy at 0 K	1.74	eV/atom
excess energy over the best structure of this formula in the dataset	1.044	eV/atom
density	3.30	g/cm3
crystal system	cubic

Cell and atoms, written as CIF:
```
data_K2FeRu
_space_group_name_H-M_alt 'P 1'
_space_group_IT_number 1
_space_group_name_Hall 'P 1'
_cell_length_a 5.508
_cell_length_b 5.508
_cell_length_c 5.508
_cell_angle_alpha 60.00
_cell_angle_beta 60.00
_cell_angle_gamma 60.00
loop_
_atom_site_label
_atom_site_type_symbol
_atom_site_fract_x
_atom_site_fract_y
_atom_site_fract_z
_atom_site_occupancy
K1 K 0.250 0.250 0.250 1
K2 K 0.750 0.750 0.750 1
Fe1 Fe 0.000 0.000 0.000 1
Ru1 Ru 0.500 0.500 0.500 1
```

Entry from Alexandria: an optimized crystal structure of K2FeRu (PBE).

total magnetic moment	4.4	Bohr magnetons per cell
formation enthalpy at 0 K	1.35	eV/atom
excess energy over the best structure of this formula in the dataset	0.654	eV/atom
density	4.25	g/cm3
crystal system	cubic

Cell and atoms, written as CIF:
```
data_K2FeRu
_space_group_name_H-M_alt 'P 1'
_space_group_IT_number 1
_space_group_name_Hall 'P 1'
_cell_length_a 5.064
_cell_length_b 5.064
_cell_length_c 5.064
_cell_angle_alpha 60.00
_cell_angle_beta 60.00
_cell_angle_gamma 60.00
loop_
_atom_site_label
_atom_site_type_symbol
_atom_site_fract_x
_atom_site_fract_y
_atom_site_fract_z
_atom_site_occupancy
K1 K 0.000 0.000 0.000 1
K2 K 0.250 0.250 0.250 1
Fe1 Fe 0.500 0.500 0.500 1
Ru1 Ru 0.750 0.750 0.750 1
```

Entry from Alexandria: an optimized crystal structure of KFe2Ru (PBE).

total magnetic moment	5.4	Bohr magnetons per cell
formation enthalpy at 0 K	0.79	eV/atom
excess energy over the best structure of this formula in the dataset	0.111	eV/atom
density	5.18	g/cm3
crystal system	monoclinic

Cell and atoms, written as CIF:
```
data_KFe2Ru
_space_group_name_H-M_alt 'P 1'
_space_group_IT_number 1
_space_group_name_Hall 'P 1'
_cell_length_a 4.338
_cell_length_b 4.338
_cell_length_c 7.152
_cell_angle_alpha 94.79
_cell_angle_beta 94.79
_cell_angle_gamma 36.99
loop_
_atom_site_label
_atom_site_type_symbol
_atom_site_fract_x
_atom_site_fract_y
_atom_site_fract_z
_atom_site_occupancy
K1 K 0.000 0.000 0.000 1
Fe1 Fe 0.498 0.498 0.509 1
Fe2 Fe 0.777 0.777 0.361 1
Ru1 Ru 0.231 0.231 0.640 1
```

Entry from Alexandria: an optimized crystal structure of KFeRu2 (PBE).

total magnetic moment	2.6	Bohr magnetons per cell
formation enthalpy at 0 K	1.15	eV/atom
excess energy over the best structure of this formula in the dataset	0.449	eV/atom
density	6.76	g/cm3
crystal system	orthorhombic

Cell and atoms, written as CIF:
```
data_KFeRu2
_space_group_name_H-M_alt 'P 1'
_space_group_IT_number 1
_space_group_name_Hall 'P 1'
_cell_length_a 5.989
_cell_length_b 5.989
_cell_length_c 5.989
_cell_angle_alpha 154.44
_cell_angle_beta 127.55
_cell_angle_gamma 59.23
loop_
_atom_site_label
_atom_site_type_symbol
_atom_site_fract_x
_atom_site_fract_y
_atom_site_fract_z
_atom_site_occupancy
K1 K 0.000 0.000 0.000 1
Fe1 Fe 0.712 0.212 0.500 1
Ru1 Ru 0.291 0.791 0.500 1
Ru2 Ru 0.499 0.499 0.000 1
```

> Which value of total magnetic moment does entry 6 give?

4.4 Bohr magnetons per cell

> Look up the excess energy over the best structure of this formula in the dataset of the first one.

0.129 eV/atom